(1)
Density functional theory data (PBE) for PmPrSc2 after structural relaxation. Values from VASP.

Quantum ESPRESSO input file:
```
&SYSTEM
  ibrav = 0, nat = 16, ntyp = 3
/
ATOMIC_SPECIES
Pm 145.00 Pm.upf
Pr 140.91 Pr.upf
Sc 44.96 Sc.upf
ATOMIC_POSITIONS angstrom
Pm 0.000 0.000 0.000
Pm 0.000 3.899 3.899
Pm 3.899 0.000 3.899
Pm 3.899 3.899 0.000
Pr 0.000 0.000 3.899
Pr 0.000 3.899 0.000
Pr 3.899 0.000 0.000
Pr 3.899 3.899 3.899
Sc 1.949 1.949 1.949
Sc 1.949 1.949 5.848
Sc 1.949 5.848 1.949
Sc 1.949 5.848 5.848
Sc 5.848 1.949 1.949
Sc 5.848 1.949 5.848
Sc 5.848 5.848 1.949
Sc 5.848 5.848 5.848
CELL_PARAMETERS angstrom
7.797 0.000 0.000
0.000 7.797 0.000
0.000 0.000 7.797
```

Crystal system = cubic
Magnetization = 0.0 μB/f.u.
Distance to the lowest polymorph of the same formula = 2.52 kJ per mole of atoms

=====

(2)
Density functional theory data (PBE) for BeAlSi after structural relaxation. Values from VASP.

Quantum ESPRESSO input file:
```
&SYSTEM
  ibrav = 0, nat = 12, ntyp = 3
/
ATOMIC_SPECIES
Be 9.01 Be.upf
Al 26.98 Al.upf
Si 28.09 Si.upf
ATOMIC_POSITIONS angstrom
Be 0.000 0.000 0.000
Be 0.000 2.772 2.772
Be 2.772 0.000 2.772
Be 2.772 2.772 0.000
Al 1.386 1.386 4.158
Al 1.386 4.158 1.386
Al 4.158 1.386 1.386
Al 4.158 4.158 4.158
Si 1.386 1.386 1.386
Si 1.386 4.158 4.158
Si 4.158 1.386 4.158
Si 4.158 4.158 1.386
CELL_PARAMETERS angstrom
5.544 0.000 0.000
0.000 5.544 0.000
0.000 0.000 5.544
```

Crystal system = cubic
Formation energy without anion corrections = 153 meV per atom
Magnetization = 0.0 μB/f.u.

=====

(3)
Density functional theory data (PBE) for Dy3HoTm4 after structural relaxation. Values from VASP.

Quantum ESPRESSO input file:
```
&SYSTEM
  ibrav = 0, nat = 16, ntyp = 3
/
ATOMIC_SPECIES
Dy 162.50 Dy.upf
Ho 164.93 Ho.upf
Tm 168.93 Tm.upf
ATOMIC_POSITIONS angstrom
Dy 0.000 0.000 0.000
Dy 0.000 4.026 1.754
Dy 0.000 21.834 1.754
Dy 2.776 8.904 1.754
Dy 2.776 12.930 0.000
Dy 2.776 16.956 1.754
Ho 0.000 12.930 1.754
Ho 2.776 0.000 1.754
Tm 0.000 7.161 0.000
Tm 0.000 10.252 0.000
Tm 0.000 15.607 0.000
Tm 0.000 18.698 0.000
Tm 2.776 2.678 0.000
Tm 2.776 5.769 0.000
Tm 2.776 20.091 0.000
Tm 2.776 23.182 0.000
CELL_PARAMETERS angstrom
5.551 0.000 0.000
0.000 25.859 0.000
0.000 0.000 3.508
```

Crystal system = orthorhombic
Magnetization = 0.0 μB/f.u.
Distance to the lowest polymorph of the same formula = 19.70 kJ per mole of atoms

=====

(4)
Density functional theory data (PBE) for NaSr2TaPd after structural relaxation. Values from VASP.

Quantum ESPRESSO input file:
```
&SYSTEM
  ibrav = 0, nat = 5, ntyp = 4
/
ATOMIC_SPECIES
Na 22.99 Na.upf
Sr 87.62 Sr.upf
Ta 180.95 Ta.upf
Pd 106.42 Pd.upf
ATOMIC_POSITIONS angstrom
Na 0.000 0.000 0.000
Sr 0.000 2.898 2.632
Sr 2.898 0.000 2.632
Ta 2.898 2.898 0.000
Pd 0.000 0.000 2.632
CELL_PARAMETERS angstrom
5.796 0.000 0.000
0.000 5.796 0.000
0.000 0.000 5.263
```

Crystal system = tetragonal
Calculated total energy = -3.52 eV per atom
Magnetization = 4.2 μB/f.u.